# 1
First-principles (PBE) data for a geometry-optimized CsNa2Ga2As2 structure, as listed in the Alexandria database.

```
data_CsNa2Ga2As2
_chemical_formula_sum 'Cs2 Na4 Ga4 As4'
_cell_length_a 10.762
_cell_length_b 4.071
_cell_length_c 10.066
_cell_angle_alpha 90.00
_cell_angle_beta 110.26
_cell_angle_gamma 90.00
_space_group_name_H-M_alt 'C 1 2/m 1'
_space_group_IT_number 12
loop_
_space_group_symop_operation_xyz
'x,y,z'
'-x,-y,-z'
'-x,y,-z'
'x,-y,z'
'x+1/2,y+1/2,z'
'-x+1/2,-y+1/2,-z'
'-x+1/2,y+1/2,-z'
'x+1/2,-y+1/2,z'
loop_
_atom_site_label
_atom_site_type_symbol
_atom_site_fract_x
_atom_site_fract_y
_atom_site_fract_z
Cs1 Cs 0.000 0.000 0.000
Na1 Na 0.132 0.000 0.396
Ga1 Ga 0.083 0.500 0.626
As1 As 0.216 0.000 0.730
```

Computed properties:
- Crystal system: monoclinic
- Raw total energy: -3.054 eV/atom
- Magnetization: 0.0 μB/f.u.


# 2
First-principles (PBE) data for a geometry-optimized CsNaGa2As2 structure, as listed in the Alexandria database.

```
data_CsNaGa2As2
_chemical_formula_sum 'Cs1 Na1 Ga2 As2'
_cell_length_a 4.1628
_cell_length_b 4.1628
_cell_length_c 11.2109
_cell_angle_alpha 90.00
_cell_angle_beta 90.00
_cell_angle_gamma 120.00
_space_group_name_H-M_alt 'P -3 m 1'
_space_group_IT_number 164
_space_group_name_Hall '-P 3 2"'
loop_
_atom_site_label
_atom_site_type_symbol
_atom_site_fract_x
_atom_site_fract_y
_atom_site_fract_z
Cs1 Cs 0.0000 0.0000 0.0000
Na1 Na 0.0000 0.0000 0.5000
Ga1 Ga 0.3333 0.6667 0.7546
As1 As 0.3333 0.6667 0.3197
```

Computed properties:
- Crystal system: trigonal
- Raw total energy: -3.189 eV/atom
- Magnetization: 0.0 μB/f.u.


# 3
First-principles (PBE) data for a geometry-optimized CsGaAsO4 structure, as listed in the Alexandria database.

```
data_CsGaAsO4
_chemical_formula_sum 'Cs2 Ga2 As2 O8'
_cell_length_a 7.105
_cell_length_b 6.041
_cell_length_c 7.190
_cell_angle_alpha 90.00
_cell_angle_beta 91.36
_cell_angle_gamma 90.00
_space_group_name_H-M_alt 'P 1 21/m 1'
_space_group_IT_number 11
loop_
_space_group_symop_operation_xyz
'x,y,z'
'-x,-y,-z'
'-x,y+1/2,-z'
'x,-y+1/2,z'
loop_
_atom_site_label
_atom_site_type_symbol
_atom_site_fract_x
_atom_site_fract_y
_atom_site_fract_z
Cs1 Cs 0.141 0.250 0.348
Ga1 Ga 0.331 0.750 0.914
As1 As 0.397 0.250 0.810
O1 O 0.254 0.504 0.772
O2 O 0.339 0.750 0.182
O3 O 0.401 0.250 0.058
```

Computed properties:
- Uncorrected formation energy: -32.9 kcal/mol of atoms
- Crystal system: monoclinic
- Magnetization: 0.0 μB/f.u.


# 4
First-principles (PBE) data for a geometry-optimized Cs2Ga2As2O structure, as listed in the Alexandria database.

```
data_Cs2Ga2As2O
_chemical_formula_sum 'Cs4 Ga4 As4 O2'
_cell_length_a 12.467
_cell_length_b 4.169
_cell_length_c 8.660
_cell_angle_alpha 90.00
_cell_angle_beta 120.09
_cell_angle_gamma 90.00
_space_group_name_H-M_alt 'C 1 2/m 1'
_space_group_IT_number 12
loop_
_space_group_symop_operation_xyz
'x,y,z'
'-x,-y,-z'
'-x,y,-z'
'x,-y,z'
'x+1/2,y+1/2,z'
'-x+1/2,-y+1/2,-z'
'-x+1/2,y+1/2,-z'
'x+1/2,-y+1/2,z'
loop_
_atom_site_label
_atom_site_type_symbol
_atom_site_fract_x
_atom_site_fract_y
_atom_site_fract_z
Cs1 Cs 0.060 0.000 0.323
Ga1 Ga 0.167 0.500 0.051
As1 As 0.208 0.500 0.785
O1 O 0.000 0.500 0.000
```

Computed properties:
- Uncorrected formation energy: -19.2 kcal/mol of atoms
- Crystal system: monoclinic
- Magnetization: 0.0 μB/f.u.


# 5
First-principles (PBE) data for a geometry-optimized Cs2Ga3As5O18 structure, as listed in the Alexandria database.

```
data_Cs2Ga3As5O18
_chemical_formula_sum 'Cs8 Ga12 As20 O72'
_cell_length_a 27.578
_cell_length_b 5.210
_cell_length_c 12.722
_cell_angle_alpha 90.00
_cell_angle_beta 94.32
_cell_angle_gamma 90.00
_space_group_name_H-M_alt 'C 1 2/c 1'
_space_group_IT_number 15
loop_
_space_group_symop_operation_xyz
'x,y,z'
'-x,-y,-z'
'-x,y,-z+1/2'
'x,-y,z+1/2'
'x+1/2,y+1/2,z'
'-x+1/2,-y+1/2,-z'
'-x+1/2,y+1/2,-z+1/2'
'x+1/2,-y+1/2,z+1/2'
loop_
_atom_site_label
_atom_site_type_symbol
_atom_site_fract_x
_atom_site_fract_y
_atom_site_fract_z
Cs1 Cs 0.129 0.050 0.352
Ga1 Ga 0.000 0.000 0.000
Ga2 Ga 0.199 0.436 0.615
As1 As 0.000 0.245 0.750
As2 As 0.069 0.499 0.585
As3 As 0.229 0.436 0.873
O1 O 0.022 0.076 0.855
O2 O 0.040 0.310 0.492
O3 O 0.048 0.450 0.716
O4 O 0.062 0.181 0.062
O5 O 0.127 0.402 0.609
O6 O 0.189 0.484 0.465
O7 O 0.193 0.486 0.262
O8 O 0.215 0.081 0.618
O9 O 0.238 0.110 0.881
```

Computed properties:
- Uncorrected formation energy: -34.4 kcal/mol of atoms
- Crystal system: monoclinic
- Magnetization: 0.0 μB/f.u.


# 6
First-principles (PBE) data for a geometry-optimized Cs2GaAs2O6 structure, as listed in the Alexandria database.

```
data_Cs2GaAs2O6
_chemical_formula_sum 'Cs6 Ga3 As6 O18'
_cell_length_a 5.8531
_cell_length_b 5.8531
_cell_length_c 19.5063
_cell_angle_alpha 90.00
_cell_angle_beta 90.00
_cell_angle_gamma 120.00
_space_group_name_H-M_alt 'R -3 m'
_space_group_IT_number 166
_space_group_name_Hall '-R 3 2"'
loop_
_atom_site_label
_atom_site_type_symbol
_atom_site_fract_x
_atom_site_fract_y
_atom_site_fract_z
Cs1 Cs 0.0000 0.0000 0.2166
Ga1 Ga 0.0000 0.0000 0.0000
As1 As 0.0000 0.0000 0.4199
O1 O 0.0019 0.5009 0.7274
```

Computed properties:
- Uncorrected formation energy: -31.5 kcal/mol of atoms
- Crystal system: trigonal
- Magnetization: 0.0 μB/f.u.


# 7
First-principles (PBE) data for a geometry-optimized Cs2Ga2As2P structure, as listed in the Alexandria database.

```
data_Cs2Ga2As2P
_chemical_formula_sum 'Cs4 Ga4 As4 P2'
_cell_length_a 14.127
_cell_length_b 4.017
_cell_length_c 9.203
_cell_angle_alpha 90.00
_cell_angle_beta 122.20
_cell_angle_gamma 90.00
_space_group_name_H-M_alt 'C 1 2/m 1'
_space_group_IT_number 12
loop_
_space_group_symop_operation_xyz
'x,y,z'
'-x,-y,-z'
'-x,y,-z'
'x,-y,z'
'x+1/2,y+1/2,z'
'-x+1/2,-y+1/2,-z'
'-x+1/2,y+1/2,-z'
'x+1/2,-y+1/2,z'
loop_
_atom_site_label
_atom_site_type_symbol
_atom_site_fract_x
_atom_site_fract_y
_atom_site_fract_z
Cs1 Cs 0.071 0.000 0.354
Ga1 Ga 0.183 0.500 0.051
As1 As 0.199 0.500 0.784
P1 P 0.000 0.500 0.000
```

Computed properties:
- Crystal system: monoclinic
- Raw total energy: -3.518 eV/atom
- Magnetization: 0.0 μB/f.u.


# 8
First-principles (PBE) data for a geometry-optimized Cs2GaAs2Pb structure, as listed in the Alexandria database.

```
data_Cs2GaAs2Pb
_chemical_formula_sum 'Cs8 Ga4 As8 Pb4'
_cell_length_a 7.580
_cell_length_b 15.948
_cell_length_c 7.113
_cell_angle_alpha 90.00
_cell_angle_beta 90.00
_cell_angle_gamma 90.00
_space_group_name_H-M_alt 'I b a m'
_space_group_IT_number 72
_space_group_name_Hall '-I 2 2c'
loop_
_atom_site_label
_atom_site_type_symbol
_atom_site_fract_x
_atom_site_fract_y
_atom_site_fract_z
Cs1 Cs 0.226 0.175 0.000
Ga1 Ga 0.000 0.000 0.250
As1 As 0.212 0.077 0.500
Pb1 Pb 0.000 0.500 0.250
```

Computed properties:
- Crystal system: orthorhombic
- Raw total energy: -3.271 eV/atom
- Magnetization: 0.0 μB/f.u.